Entry 1:
Density functional theory data (GGA-PBE) for a relaxed structure of Ba2YTlCu2O7.

The uncorrected formation energy is -1.815 eV per atom. Its calculated total energy is -79.2 eV per formula unit. As for the space group: P4/mmm (123).

Cell: 3.879 3.879 12.826 Å, 90.00 90.00 90.00°
Sites, in units of the cell vectors:
Ba1 0.000 0.000 0.207
Ba2 0.000 0.000 0.793
Y1 0.000 0.000 0.500
Tl1 0.500 0.500 0.000
Cu1 0.500 0.500 0.374
Cu2 0.500 0.500 0.626
O1 0.000 0.000 0.000
O2 0.000 0.500 0.388
O3 0.000 0.500 0.612
O4 0.500 0.000 0.388
O5 0.500 0.000 0.612
O6 0.500 0.500 0.165
O7 0.500 0.500 0.835

---

Entry 2:
Density functional theory data (GGA-PBE) for a relaxed structure of LiPaBi2Se6.

The uncorrected formation energy is -0.824 eV per atom. Its calculated total energy is -48.3 eV per formula unit. As for the space group: R3 (146).

Cell: 7.697 7.697 7.697 Å, 56.05 56.05 56.05°
Sites, in units of the cell vectors:
Li1 0.000 0.000 0.000
Pa1 0.495 0.495 0.495
Bi1 0.304 0.304 0.304
Bi2 0.807 0.807 0.807
Se1 0.115 0.723 0.378
Se2 0.232 0.618 0.870
Se3 0.378 0.115 0.723
Se4 0.618 0.870 0.232
Se5 0.723 0.378 0.115
Se6 0.870 0.232 0.618

---

Entry 3:
Density functional theory data (GGA-PBE) for a relaxed structure of Sr2RhW.

Its calculated total energy is -19.8 eV per formula unit. The value obtained for the distance to the lowest polymorph of the same formula is 220.1 kJ/mol of formula units. As for the space group: R-3m (166).

Cell: 3.267 3.267 30.207 Å, 90.00 90.00 120.00°
Sites, in units of the cell vectors:
Sr1 0.000 0.000 0.243
Sr2 0.000 0.000 0.757
Sr3 0.333 0.667 0.424
Sr4 0.333 0.667 0.909
Sr5 0.667 0.333 0.091
Sr6 0.667 0.333 0.576
Rh1 0.000 0.000 0.500
Rh2 0.333 0.667 0.167
Rh3 0.667 0.333 0.833
W1 0.000 0.000 0.000
W2 0.333 0.667 0.667
W3 0.667 0.333 0.333

---

Entry 4:
Density functional theory data (GGA-PBE) for a relaxed structure of YZrHg2.

Its calculated total energy is -16.3 eV per formula unit. The value obtained for the distance to the lowest polymorph of the same formula is 41.8 kJ/mol of formula units. As for the space group: C2/m (12).

Cell: 9.450 3.558 6.219 Å, 90.00 102.06 90.00°
Sites, in units of the cell vectors:
Y1 0.000 0.000 0.000
Y2 0.500 0.500 0.000
Zr1 0.000 0.500 0.500
Zr2 0.500 0.000 0.500
Hg1 0.247 0.000 0.724
Hg2 0.253 0.500 0.276
Hg3 0.747 0.500 0.724
Hg4 0.753 0.000 0.276

---

Entry 5:
Density functional theory data (GGA-PBE) for a relaxed structure of Cr2SiMo.

The uncorrected formation energy is 0.201 eV per atom. Its calculated total energy is -34.7 eV per formula unit. As for the space group: R3m (160).

Cell: 2.748 2.748 24.372 Å, 90.00 90.00 120.00°
Sites, in units of the cell vectors:
Cr1 0.000 0.000 0.000
Cr2 0.000 0.000 0.260
Cr3 0.333 0.667 0.667
Cr4 0.333 0.667 0.927
Cr5 0.667 0.333 0.333
Cr6 0.667 0.333 0.594
Si1 0.000 0.000 0.514
Si2 0.333 0.667 0.180
Si3 0.667 0.333 0.847
Mo1 0.000 0.000 0.757
Mo2 0.333 0.667 0.424
Mo3 0.667 0.333 0.090

---

Entry 6:
Density functional theory data (GGA-PBE) for a relaxed structure of PaAgSb2.

The uncorrected formation energy is -0.119 eV per atom. Its calculated total energy is -21.1 eV per formula unit. As for the space group: Fm-3m (225).

Cell: 7.356 7.356 7.356 Å, 90.00 90.00 90.00°
Sites, in units of the cell vectors:
Pa1 0.000 0.000 0.000
Pa2 0.000 0.500 0.500
Pa3 0.500 0.000 0.500
Pa4 0.500 0.500 0.000
Ag1 0.000 0.000 0.500
Ag2 0.000 0.500 0.000
Ag3 0.500 0.000 0.000
Ag4 0.500 0.500 0.500
Sb1 0.250 0.250 0.250
Sb2 0.250 0.250 0.750
Sb3 0.250 0.750 0.250
Sb4 0.250 0.750 0.750
Sb5 0.750 0.250 0.250
Sb6 0.750 0.250 0.750
Sb7 0.750 0.750 0.250
Sb8 0.750 0.750 0.750

---

Entry 7:
Density functional theory data (GGA-PBE) for a relaxed structure of K2MgCo.

Its calculated total energy is -6.7 eV per formula unit. As for the space group: I-42d (122).

Cell: 4.378 4.378 23.825 Å, 90.00 90.00 90.00°
Sites, in units of the cell vectors:
K1 0.237 0.250 0.125
K2 0.250 0.737 0.375
K3 0.250 0.763 0.875
K4 0.263 0.250 0.625
K5 0.737 0.750 0.625
K6 0.750 0.237 0.875
K7 0.750 0.263 0.375
K8 0.763 0.750 0.125
Mg1 0.000 0.000 0.500
Mg2 0.000 0.500 0.750
Mg3 0.500 0.000 0.250
Mg4 0.500 0.500 0.000
Co1 0.000 0.000 0.000
Co2 0.000 0.500 0.250
Co3 0.500 0.000 0.750
Co4 0.500 0.500 0.500

---

Entry 8:
Density functional theory data (GGA-PBE) for a relaxed structure of ScTlSeN2.

The uncorrected formation energy is 0.420 eV per atom. Its calculated total energy is -26.7 eV per formula unit. The value obtained for the distance to the lowest polymorph of the same formula is 0.0 kJ/mol of formula units. As for the space group: P4/mmm (123).

Cell: 4.344 4.344 5.443 Å, 90.00 90.00 90.00°
Sites, in units of the cell vectors:
Sc1 0.000 0.000 0.000
Tl1 0.500 0.500 0.500
Se1 0.000 0.000 0.500
N1 0.000 0.500 0.000
N2 0.500 0.000 0.000

---

Entry 9:
Density functional theory data (GGA-PBE) for a relaxed structure of Ac8AlCd2.

Its calculated total energy is -39.5 eV per formula unit. As for the space group: C2/m (12).

Cell: 10.411 10.411 7.789 Å, 106.72 106.72 31.84°
Sites, in units of the cell vectors:
Ac1 0.020 0.020 0.276
Ac2 0.199 0.199 0.808
Ac3 0.336 0.336 0.532
Ac4 0.409 0.409 0.047
Ac5 0.591 0.591 0.953
Ac6 0.664 0.664 0.468
Ac7 0.801 0.801 0.192
Ac8 0.980 0.980 0.724
Al1 0.500 0.500 0.500
Cd1 0.181 0.181 0.215
Cd2 0.819 0.819 0.785

---

Entry 10:
Density functional theory data (GGA-PBE) for a relaxed structure of Cd3H2.

Its calculated total energy is -8.4 eV per formula unit. As for the space group: Fdd2 (43).

Cell: 8.375 5.367 9.361 Å, 62.56 34.66 82.77°
Sites, in units of the cell vectors:
Cd1 0.000 0.000 0.000
Cd2 0.250 0.250 0.250
Cd3 0.288 0.549 0.876
Cd4 0.374 0.963 0.962
Cd5 0.549 0.288 0.287
Cd6 0.963 0.374 0.701
H1 0.119 0.792 0.390
H2 0.551 0.860 0.458
H3 0.792 0.119 0.699
H4 0.860 0.551 0.131